*P*
{
  "formula": "CsNiHg2",
  "functional": "PBE-GGA",
  "state": "optimized geometry",
  "lattice": [[0.0000, 3.9945, 3.9945], [3.9945, 0.0000, 3.9945], [3.9945, 3.9945, 0.0000]],
  "species": ["Cs", "Ni", "Hg", "Hg"],
  "frac_coords": [[0.0000, 0.0000, 0.0000], [0.5000, 0.5000, 0.5000], [0.2500, 0.2500, 0.2500], [0.7500, 0.7500, 0.7500]],
  "magmom_total_mub_per_cell": 0.66,
  "crystal_system": "cubic",
  "dos_ef_per_ev_fu": 5.42
}

=====

*Q*
{
  "formula": "CsNiHg2",
  "functional": "PBE-GGA",
  "state": "optimized geometry",
  "lattice": [[-3.1851, 3.1851, 7.8476], [3.1851, -3.1851, 7.8476], [3.1851, 3.1851, -7.8476]],
  "species": ["Cs", "Cs", "Ni", "Ni", "Hg", "Hg", "Hg", "Hg"],
  "frac_coords": [[0.3750, 0.6250, 0.7500], [0.6250, 0.3750, 0.2500], [0.1250, 0.8750, 0.2500], [0.8750, 0.1250, 0.7500], [0.0000, 0.0000, 0.0000], [0.0000, 0.0000, 0.5000], [0.0000, 0.5000, 0.0000], [0.5000, 0.0000, 0.5000]],
  "magmom_total_mub_per_cell": 0.00,
  "crystal_system": "tetragonal",
  "dos_ef_per_ev_fu": 2.11
}

=====

Of the structures shown above, *Q* is the most stable.